Computed, not measured: a relaxed structure of Ba2MnTlCl8 at the PBE-GGA level of DFT.

Properties
As for the volume: 32.17 Å³ per atom. Its space group is P-1. As for the formation energy without anion corrections: -20.71 eV per formula unit.

Lattice parameters (Å, degrees): 6.3878 7.0423 9.1382 74.30 87.78 77.34
Element x y z (fractional)
1 Ba 0.0345 0.1502 0.2326
2 Ba 0.9655 0.8498 0.7674
3 Mn 0.5000 0.5000 0.0000
4 Tl 0.5000 0.5000 0.5000
5 Cl 0.0228 0.7548 0.4620
6 Cl 0.2390 0.3912 0.9034
7 Cl 0.2442 0.7486 0.0771
8 Cl 0.4974 0.2287 0.2623
9 Cl 0.5026 0.7713 0.7377
10 Cl 0.7558 0.2514 0.9229
11 Cl 0.7610 0.6088 0.0966
12 Cl 0.9772 0.2452 0.5380